No. 1
Tb5YHoSc2 GGA-PBE optimized geometry; formation enthalpy at 0 K = 167 meV per atom; crystal system = orthorhombic; symmetry = Cmc2_1 (36)
1.0
2.800 -10.700 0.000
2.800 10.700 0.000
0.000 0.000 9.351
Tb Y Ho Sc
10 2 2 4
Cartesian
2.800 10.453 4.676 Tb
2.800 5.004 7.661 Tb
2.800 4.160 1.942 Tb
2.800 2.305 5.004 Tb
2.800 0.687 2.214 Tb
2.800 -0.687 6.889 Tb
2.800 -2.305 0.329 Tb
2.800 -4.160 6.618 Tb
2.800 -5.004 2.985 Tb
2.800 -10.453 0.000 Tb
2.800 6.739 4.731 Y
2.800 -6.739 0.055 Y
2.800 2.101 8.494 Ho
2.800 -2.101 3.819 Ho
2.800 8.261 7.621 Sc
2.800 7.825 1.779 Sc
2.800 -7.825 6.455 Sc
2.800 -8.261 2.945 Sc

No. 2
TbHoScZn GGA-PBE optimized geometry; ΔE to the lowest computed polymorph = 0.00 eV per formula unit; formation enthalpy at 0 K = -142 meV per atom; crystal system = tetragonal; symmetry = P4mm (99)
1.0
3.518 0.000 0.000
0.000 3.518 0.000
0.000 0.000 8.230
Tb Ho Sc Zn
1 1 1 1
Cartesian
0.000 0.000 0.000 Tb
0.000 0.000 4.632 Ho
1.759 1.759 2.330 Sc
1.759 1.759 6.402 Zn

No. 3
TbHoScZn GGA-PBE optimized geometry; ΔE to the lowest computed polymorph = 0.53 eV per formula unit; formation enthalpy at 0 K = -10 meV per atom; crystal system = cubic; symmetry = F-43m (216)
1.0
0.000 3.683 3.683
3.683 0.000 3.683
3.683 3.683 0.000
Tb Ho Sc Zn
1 1 1 1
Cartesian
0.000 0.000 0.000 Tb
3.683 3.683 3.683 Ho
5.525 5.525 5.525 Sc
1.842 1.842 1.842 Zn

No. 4
Tb3Ho6ZrSc2 GGA-PBE optimized geometry; formation enthalpy at 0 K = 52 meV per atom; crystal system = monoclinic; symmetry = C2/m (12)
1.0
2.999 -5.186 0.000
2.999 5.186 0.000
-1.990 0.000 11.265
Tb Ho Zr Sc
3 6 1 2
Cartesian
0.000 0.000 0.000 Tb
2.999 1.729 0.000 Tb
2.999 -1.729 0.000 Tb
1.012 1.710 2.943 Ho
0.032 0.000 8.317 Ho
1.012 -1.710 2.943 Ho
2.996 1.710 8.322 Ho
3.976 0.000 2.948 Ho
2.996 -1.710 8.322 Ho
2.004 0.000 5.633 Zr
2.004 3.456 5.633 Sc
2.004 -3.456 5.633 Sc

No. 5
TbHo2ZrSc4 GGA-PBE optimized geometry; formation enthalpy at 0 K = 53 meV per atom; crystal system = orthorhombic; symmetry = Pmmm (47)
1.0
4.766 0.000 0.000
0.000 4.781 0.000
0.000 0.000 9.295
Tb Ho Zr Sc
1 2 1 4
Cartesian
0.000 0.000 0.000 Tb
0.000 0.000 4.648 Ho
2.383 2.391 0.000 Ho
2.383 2.391 4.648 Zr
0.000 2.391 2.429 Sc
0.000 2.391 6.867 Sc
2.383 0.000 2.428 Sc
2.383 0.000 6.867 Sc

No. 6
Ho2Sc8Tc GGA-PBE optimized geometry; formation enthalpy at 0 K = -20 meV per atom; crystal system = monoclinic; symmetry = C2/m (12)
1.0
8.503 -2.527 0.000
8.503 2.527 0.000
-0.525 0.000 6.254
Ho Sc Tc
2 8 1
Cartesian
3.689 0.000 1.016 Ho
12.792 0.000 5.238 Ho
0.357 0.000 1.678 Sc
2.361 0.000 4.121 Sc
5.741 0.000 3.812 Sc
7.040 0.000 0.701 Sc
9.442 0.000 5.553 Sc
10.741 0.000 2.442 Sc
14.121 0.000 2.133 Sc
16.125 0.000 4.576 Sc
8.241 0.000 3.127 Tc

No. 7
HoSc2Tc GGA-PBE optimized geometry; ΔE to the lowest computed polymorph = 1.24 eV per formula unit; formation enthalpy at 0 K = 147 meV per atom; crystal system = trigonal; symmetry = R-3m (166)
1.0
1.618 0.934 10.405
-1.618 0.934 10.405
0.000 -1.868 10.405
Ho Sc Tc
1 2 1
Cartesian
0.000 0.000 0.000 Ho
0.000 0.000 3.277 Sc
0.000 0.000 27.938 Sc
0.000 0.000 15.607 Tc

No. 8
HoSc2Tc GGA-PBE optimized geometry; ΔE to the lowest computed polymorph = 0.00 eV per formula unit; formation enthalpy at 0 K = -164 meV per atom; crystal system = orthorhombic; symmetry = Pnma (62)
1.0
7.399 0.000 0.000
0.000 8.486 0.000
0.000 0.000 5.856
Ho Sc Tc
4 8 4
Cartesian
0.269 2.122 0.691 Ho
3.430 6.365 3.619 Ho
3.968 2.122 2.237 Ho
7.130 6.365 5.165 Ho
1.282 0.536 3.743 Sc
1.282 3.708 3.743 Sc
2.417 4.779 0.815 Sc
2.417 7.951 0.815 Sc
4.981 0.536 5.041 Sc
4.981 3.708 5.041 Sc
6.117 4.779 2.113 Sc
6.117 7.951 2.113 Sc
0.869 6.365 2.501 Tc
2.830 2.122 5.430 Tc
4.568 6.365 0.427 Tc
6.529 2.122 3.355 Tc

No. 9
Ho3ScTc GGA-PBE optimized geometry; formation enthalpy at 0 K = -47 meV per atom; crystal system = orthorhombic; symmetry = Pnma (62)
1.0
10.727 0.000 0.000
0.000 3.577 0.000
0.000 0.000 13.714
Ho Sc Tc
12 4 4
Cartesian
0.492 0.894 1.355 Ho
0.769 2.683 4.568 Ho
2.037 2.683 10.189 Ho
3.327 0.894 3.332 Ho
4.595 0.894 11.425 Ho
4.872 2.683 8.212 Ho
5.856 0.894 5.502 Ho
6.132 2.683 2.289 Ho
7.400 2.683 10.381 Ho
8.691 0.894 3.524 Ho
9.959 0.894 9.146 Ho
10.235 2.683 12.358 Ho
2.070 0.894 7.068 Sc
3.294 2.683 0.212 Sc
7.433 0.894 13.502 Sc
8.658 2.683 6.645 Sc
1.902 0.894 12.487 Tc
3.462 2.683 5.630 Tc
7.265 0.894 8.083 Tc
8.826 2.683 1.227 Tc

No. 10
Ho2ScTc GGA-PBE optimized geometry; ΔE to the lowest computed polymorph = 0.66 eV per formula unit; formation enthalpy at 0 K = 34 meV per atom; crystal system = tetragonal; symmetry = P4/mmm (123)
1.0
3.451 0.000 0.000
0.000 3.451 0.000
0.000 0.000 8.163
Ho Sc Tc
2 1 1
Cartesian
0.000 0.000 1.627 Ho
0.000 0.000 6.536 Ho
1.725 1.725 4.081 Sc
1.725 1.725 0.000 Tc

No. 11
HoSc2Tc GGA-PBE optimized geometry; ΔE to the lowest computed polymorph = 0.27 eV per formula unit; formation enthalpy at 0 K = -97 meV per atom; crystal system = tetragonal; symmetry = P4/mmm (123)
1.0
3.302 0.000 0.000
0.000 3.302 0.000
0.000 0.000 8.323
Ho Sc Tc
1 2 1
Cartesian
0.000 0.000 0.000 Ho
1.651 1.651 2.644 Sc
1.651 1.651 5.679 Sc
0.000 0.000 4.161 Tc

No. 12
HoSc4Tc2 GGA-PBE optimized geometry; formation enthalpy at 0 K = -149 meV per atom; crystal system = monoclinic; symmetry = P2_1/m (11)
1.0
7.359 0.000 0.000
0.000 5.905 0.000
-2.816 0.000 7.026
Ho Sc Tc
2 8 4
Cartesian
-0.341 1.476 1.096 Ho
4.884 4.429 5.930 Ho
0.116 0.001 4.095 Sc
0.116 2.951 4.095 Sc
1.714 4.429 1.824 Sc
2.807 1.476 0.173 Sc
1.737 4.429 6.853 Sc
2.829 1.476 5.201 Sc
4.428 5.903 2.931 Sc
4.428 2.954 2.931 Sc
-1.856 1.476 5.282 Tc
2.071 1.476 2.689 Tc
2.472 4.429 4.337 Tc
6.400 4.429 1.744 Tc

No. 13
Ho3ScTc8 GGA-PBE optimized geometry; formation enthalpy at 0 K = -184 meV per atom; crystal system = trigonal; symmetry = R3m (160)
1.0
2.679 1.547 8.756
-2.679 1.547 8.756
0.000 -3.094 8.756
Ho Sc Tc
3 1 8
Cartesian
0.000 0.000 0.000 Ho
0.000 0.000 3.306 Ho
0.000 0.000 16.405 Ho
0.000 0.000 13.145 Sc
0.000 -1.542 5.996 Tc
-1.335 0.771 5.996 Tc
-1.333 -0.770 10.434 Tc
0.000 0.000 8.213 Tc
1.335 0.771 5.996 Tc
1.333 -0.770 10.434 Tc
0.000 1.539 10.434 Tc
0.000 0.000 21.354 Tc

No. 14
Ho2ScTc GGA-PBE optimized geometry; ΔE to the lowest computed polymorph = 1.67 eV per formula unit; formation enthalpy at 0 K = 286 meV per atom; crystal system = trigonal; symmetry = R-3m (166)
1.0
1.666 0.962 10.496
-1.666 0.962 10.496
0.000 -1.924 10.496
Ho Sc Tc
2 1 1
Cartesian
0.000 0.000 3.188 Ho
0.000 0.000 28.301 Ho
0.000 0.000 0.000 Sc
0.000 0.000 15.744 Tc

No. 15
Ho2ScTc GGA-PBE optimized geometry; ΔE to the lowest computed polymorph = 0.00 eV per formula unit; formation enthalpy at 0 K = -130 meV per atom; crystal system = orthorhombic; symmetry = Pnma (62)
1.0
7.183 0.000 0.000
0.000 9.005 0.000
0.000 0.000 6.132
Ho Sc Tc
8 4 4
Cartesian
1.285 0.562 0.991 Ho
1.285 3.941 0.991 Ho
2.306 5.065 4.057 Ho
2.306 8.443 4.057 Ho
4.876 0.562 2.075 Ho
4.876 3.941 2.075 Ho
5.898 5.065 5.141 Ho
5.898 8.443 5.141 Ho
0.332 2.251 3.885 Sc
3.260 6.754 0.819 Sc
3.923 2.251 5.313 Sc
6.851 6.754 2.247 Sc
0.846 6.754 5.997 Tc
2.745 2.251 2.931 Tc
4.438 6.754 3.201 Tc
6.336 2.251 0.135 Tc

No. 16
HoScTc4 GGA-PBE optimized geometry; formation enthalpy at 0 K = -203 meV per atom; crystal system = cubic; symmetry = F-43m (216)
1.0
0.000 3.766 3.766
3.766 0.000 3.766
3.766 3.766 0.000
Ho Sc Tc
1 1 4
Cartesian
0.000 0.000 0.000 Ho
5.650 5.650 5.650 Sc
2.827 2.827 2.827 Tc
4.706 4.706 2.827 Tc
4.706 2.827 4.706 Tc
2.827 4.706 4.706 Tc

No. 17
HoThScTc GGA-PBE optimized geometry; formation enthalpy at 0 K = 58 meV per atom; crystal system = cubic; symmetry = F-43m (216)
1.0
0.000 3.614 3.614
3.614 0.000 3.614
3.614 3.614 0.000
Ho Th Sc Tc
1 1 1 1
Cartesian
0.000 0.000 0.000 Ho
3.614 3.614 3.614 Th
1.807 1.807 1.807 Sc
5.422 5.422 5.422 Tc

No. 18
HoScTe GGA-PBE optimized geometry; E_form (uncorrected) = -0.86 eV/atom; ΔE to the lowest computed polymorph = 0.00 eV per formula unit; crystal system = tetragonal; symmetry = P4/nmm (129)
1.0
4.228 0.000 0.000
0.000 4.228 0.000
0.000 0.000 8.371
Ho Sc Te
2 2 2
Cartesian
1.057 1.057 1.148 Ho
3.171 3.171 7.223 Ho
1.057 3.171 4.185 Sc
3.171 1.057 4.185 Sc
1.057 1.057 6.367 Te
3.171 3.171 2.003 Te

No. 19
HoSc3Te GGA-PBE optimized geometry; E_form (uncorrected) = -0.45 eV/atom; ΔE to the lowest computed polymorph = 0.04 eV per formula unit; crystal system = orthorhombic; symmetry = Cmcm (63)
1.0
2.048 -9.374 0.000
2.048 9.374 0.000
0.000 0.000 6.680
Ho Sc Te
2 6 2
Cartesian
2.048 5.461 5.010 Ho
2.048 -5.461 1.670 Ho
2.048 9.312 1.670 Sc
2.048 1.665 0.074 Sc
2.048 1.665 3.266 Sc
2.048 -1.665 3.414 Sc
2.048 -1.665 6.607 Sc
2.048 -9.312 5.010 Sc
2.048 6.251 1.670 Te
2.048 -6.251 5.010 Te

No. 20
HoScTe GGA-PBE optimized geometry; E_form (uncorrected) = -0.47 eV/atom; ΔE to the lowest computed polymorph = 1.16 eV per formula unit; crystal system = trigonal; symmetry = P3m1 (156)
1.0
4.941 0.000 0.000
-2.471 4.279 0.000
0.000 0.000 3.854
Ho Sc Te
1 1 1
Cartesian
0.000 0.000 0.000 Ho
2.471 1.426 1.912 Sc
0.000 2.853 1.466 Te

No. 21
Ho2Sc2Te7 GGA-PBE optimized geometry; E_form (uncorrected) = -1.08 eV/atom; crystal system = orthorhombic; symmetry = Imm2 (44)
1.0
-2.058 7.790 4.832
2.058 -7.790 4.832
2.058 7.790 -4.832
Ho Sc Te
2 2 7
Cartesian
0.000 3.747 0.000 Ho
0.000 11.833 0.000 Ho
2.058 0.000 3.135 Sc
0.000 0.000 7.507 Sc
2.058 -2.705 1.980 Te
0.000 0.000 0.900 Te
2.058 2.705 1.980 Te
2.058 6.130 -0.011 Te
0.000 1.660 4.821 Te
0.000 5.647 2.999 Te
0.000 9.933 2.999 Te

No. 22
HoSc3Te2 GGA-PBE optimized geometry; E_form (uncorrected) = -0.78 eV/atom; crystal system = monoclinic; symmetry = C2/m (12)
1.0
7.549 -2.023 0.000
7.549 2.023 0.000
-4.993 0.000 10.139
Ho Sc Te
2 6 4
Cartesian
1.693 0.000 0.643 Ho
8.411 0.000 9.496 Ho
-1.194 0.000 3.776 Sc
1.241 0.000 6.205 Sc
3.762 0.000 3.995 Sc
6.342 0.000 6.144 Sc
8.863 0.000 3.934 Sc
11.299 0.000 6.363 Sc
-1.116 0.000 8.329 Te
3.107 0.000 8.537 Te
6.998 0.000 1.602 Te
11.221 0.000 1.810 Te

No. 23
HoSc2Te4 GGA-PBE optimized geometry; E_form (uncorrected) = -1.28 eV/atom; ΔE to the lowest computed polymorph = 0.00 eV per formula unit; crystal system = monoclinic; symmetry = C2/m (12)
1.0
7.919 -2.093 0.000
7.919 2.093 0.000
-3.306 0.000 6.490
Ho Sc Te
1 2 4
Cartesian
0.000 0.000 0.000 Ho
3.104 0.000 1.773 Sc
9.429 0.000 4.717 Sc
0.443 0.000 3.005 Te
5.682 0.000 0.220 Te
6.850 0.000 6.270 Te
12.090 0.000 3.485 Te

Theoretical density (g/cm³)
6.7; 7.1; 7.2; 7.8; 6.0; 4.9; 6.2; 6.4; 8.0; 8.1; 6.5; 5.9; 10.1; 7.8; 7.9; 9.4; 9.5; 7.5; 5.5; 6.9; 7.0; 6.0; 5.9